Material: Cs2CrAgO4
Method: DFT, GGA+U
State: optimized geometry

Cell: 9.228 7.794 6.529 Å, 90.00 134.95 90.00°
Space group C2 (No. 5)
Symmetry-distinct sites (fractional):
Cs  0.000  0.000  0.000 x2
Cs  0.000  0.250  0.500 x2
Cr  0.000  0.750  0.500 x2
Ag  0.000  0.500  0.000 x2
O  0.107  0.619  0.419 x4
O  0.188  0.880  0.794 x4

Calculated values
E	-0.387	Ry per atom
theoretical density	4.89	g cm⁻³
size of the total moment	0.125	μB per atom